Entry 1:
Compound: ScInNi2
Source: Alexandria
Functional: SCAN
Structure: single point on PBEsol structure

```
12
Lattice="3.089 0.000 0.000 -1.544 2.675 0.000 0.000 0.000 23.219" Properties=species:S:1:pos:R:3 pbc="T T T"
Sc 0.000 0.000 0.000
Sc 0.000 1.783 15.479
Sc 1.544 0.892 7.740
In 0.000 0.000 11.609
In 0.000 1.783 3.870
In 1.544 0.892 19.349
Ni 0.000 0.000 5.838
Ni 0.000 0.000 17.381
Ni 0.000 1.783 9.642
Ni 0.000 1.783 21.317
Ni 1.544 0.892 1.902
Ni 1.544 0.892 13.577
```

Results
volume: 15.99 A^3/atom
E: -239.41 eV/cell
formation enthalpy at 0 K: 4.0 kJ per mole of atoms
size of the total moment: 0.0 μB per formula unit


Entry 2:
Compound: ScInNi2
Source: Alexandria
Functional: SCAN
Structure: single point on PBEsol structure

```
8
Lattice="3.784 0.000 0.000 0.000 3.784 0.000 0.000 0.000 8.374" Properties=species:S:1:pos:R:3 pbc="T T T"
Sc 0.000 0.000 0.000
Sc 1.892 1.892 4.187
In 0.000 1.892 2.093
In 1.892 0.000 6.280
Ni 0.000 0.000 4.187
Ni 0.000 1.892 6.280
Ni 1.892 0.000 2.093
Ni 1.892 1.892 0.000
```

Results
volume: 14.99 A^3/atom
E: -162.43 eV/cell
formation enthalpy at 0 K: -30.0 kJ per mole of atoms
size of the total moment: 0.0 μB per formula unit


Entry 3:
Compound: ScIn2TcNi
Source: Alexandria
Functional: SCAN
Structure: single point on PBEsol structure

```
5
Lattice="4.644 0.000 0.000 0.000 4.644 0.000 0.000 0.000 4.640" Properties=species:S:1:pos:R:3 pbc="T T T"
Sc 0.000 0.000 0.000
In 0.000 2.322 2.320
In 2.322 0.000 2.320
Tc 2.322 2.322 0.000
Ni 2.322 2.322 2.320
```

Results
volume: 20.01 A^3/atom
E: -130.42 eV/cell
formation enthalpy at 0 K: 35.2 kJ per mole of atoms
size of the total moment: 1.5 μB per formula unit


Entry 4:
Compound: InNi2Se
Source: Alexandria
Functional: SCAN
Structure: single point on PBEsol structure

```
4
Lattice="3.231 0.000 0.000 0.000 3.231 0.000 0.000 0.000 5.900" Properties=species:S:1:pos:R:3 pbc="T T T"
In 0.000 0.000 0.000
Ni 0.000 0.000 2.763
Ni 1.615 1.615 1.293
Se 1.615 1.615 3.541
```

Results
volume: 15.40 A^3/atom
energy relative to the lowest polymorph listed for this composition: 0.0 meV per atom
E: -86.00 eV/cell
size of the total moment: 0.0 μB per formula unit


Entry 5:
Compound: InNi3Se
Source: Alexandria
Functional: SCAN
Structure: single point on PBEsol structure

```
5
Lattice="4.318 0.000 0.000 0.000 4.318 0.000 0.000 0.000 4.318" Properties=species:S:1:pos:R:3 pbc="T T T"
In 0.000 0.000 0.000
Ni 0.000 2.159 2.159
Ni 2.159 0.000 2.159
Ni 2.159 2.159 0.000
Se 2.159 2.159 2.159
```

Results
volume: 16.11 A^3/atom
E: -100.40 eV/cell
size of the total moment: 0.0 μB per formula unit


Entry 6:
Compound: InNiSe
Source: Alexandria
Functional: SCAN
Structure: single point on PBEsol structure

```
12
Lattice="6.276 0.000 0.000 0.000 6.276 0.000 0.000 0.000 6.276" Properties=species:S:1:pos:R:3 pbc="T T T"
In 0.000 0.000 0.000
In 0.000 3.138 3.138
In 3.138 0.000 3.138
In 3.138 3.138 0.000
Ni 1.569 1.569 1.569
Ni 1.569 4.707 4.707
Ni 4.707 1.569 4.707
Ni 4.707 4.707 1.569
Se 1.569 1.569 4.707
Se 1.569 4.707 1.569
Se 4.707 1.569 1.569
Se 4.707 4.707 4.707
```

Results
volume: 20.60 A^3/atom
E: -272.63 eV/cell
size of the total moment: 0.0 μB per formula unit


Which value of volume does entry 5 give? 16.11 A^3/atom


What is the formula in the fifth record? InNi3Se


Which formula does entry 5 have? InNi3Se